{"formula": "CaHf2P", "functional": "GGA-PBE", "state": "optimized geometry", "lattice": [[-3.987, -0.725, 2.837], [2.917, -0.569, 3.954], [-1.009, 8.483, 5.060]], "species": ["P", "P", "Ca", "Ca", "Hf", "Hf", "Hf", "Hf"], "fractional_positions": [[0.500, 0.500, 0.000], [0.250, 0.750, 0.500], [0.000, 0.000, 0.000], [0.750, 0.250, 0.500], [0.437, 0.125, 0.250], [0.313, 0.625, 0.250], [0.375, 0.563, 0.750], [0.875, 0.687, 0.750]], "sg": "I-42d, No. 122", "energy_ev_per_atom": -6.49, "formation_energy_kcal_per_mol_atoms": 7.884, "m_tot_mub_per_fu": 0.0, "density_g_cm3": 6.25}

=====

{"formula": "Sr5Al2As6", "functional": "GGA-PBE", "state": "optimized geometry", "lattice": [[4.309, 0.000, 0.000], [0.000, 12.085, 0.000], [0.000, 0.000, 13.865]], "species": ["Sr", "Sr", "Sr", "Sr", "Sr", "Sr", "Sr", "Sr", "Sr", "Sr", "Al", "Al", "Al", "Al", "As", "As", "As", "As", "As", "As", "As", "As", "As", "As", "As", "As"], "fractional_positions": [[0.500, 0.326, 0.486], [0.500, 0.674, 0.514], [0.500, 0.826, 0.014], [0.500, 0.174, 0.986], [0.500, 0.589, 0.254], [0.500, 0.411, 0.746], [0.500, 0.089, 0.246], [0.500, 0.911, 0.754], [0.500, 0.500, 0.000], [0.500, 0.000, 0.500], [0.000, 0.326, 0.291], [0.000, 0.674, 0.709], [0.000, 0.826, 0.209], [0.000, 0.174, 0.791], [0.000, 0.161, 0.399], [0.000, 0.839, 0.601], [0.000, 0.661, 0.101], [0.000, 0.339, 0.899], [0.500, 0.340, 0.191], [0.500, 0.660, 0.809], [0.500, 0.840, 0.309], [0.500, 0.160, 0.691], [0.000, 0.510, 0.408], [0.000, 0.490, 0.592], [0.000, 0.010, 0.092], [0.000, 0.990, 0.908]], "sg": "Pbam, No. 55", "energy_ev_per_atom": -4.36, "formation_energy_kcal_per_mol_atoms": -22.778, "m_tot_mub_per_fu": 0.0, "density_g_cm3": 4.33}